one.
## In2TcCl (GGA-PBE)

Data for a relaxed structure of In2TcCl.

Computed properties:
symmetry	No. 99

abc: 3.0879 3.0879 9.3180
angles: 90.00 90.00 90.00
Last column: nearest neighbours and their distance in Å.
Fractional positions:
In 0.0000 0.0000 0.0000  4 In 3.09
In 0.5000 0.5000 0.2886  4 Tc 2.91, 4 In 3.09
Tc 0.0000 0.0000 0.4953  4 Cl 2.69, 4 In 2.91
Cl 0.5000 0.5000 0.6640  4 Tc 2.69

two.
## In2TcCl (GGA-PBE)

Data for a relaxed structure of In2TcCl.

Computed properties:
symmetry	No. 122

abc: 6.2910 6.2910 6.2910
angles: 106.03 106.03 116.60
Last column: nearest neighbours and their distance in Å.
Fractional positions:
In 0.1100 0.6250 0.9850  2 Tc 2.73, 2 Cl 2.88
In 0.3750 0.3600 0.4850  2 Tc 2.73, 2 Cl 2.88
In 0.6400 0.1250 0.0150  2 Tc 2.73, 2 Cl 2.88
In 0.8750 0.8900 0.5150  2 Tc 2.73, 2 Cl 2.88
Tc 0.0000 0.0000 0.0000  4 In 2.73
Tc 0.7500 0.2500 0.5000  4 In 2.73
Cl 0.2500 0.7500 0.5000  4 In 2.88
Cl 0.5000 0.5000 0.0000  4 In 2.88

Of them, one has the highest stability.

one.
## In2TcCl (GGA-PBE)

Data for a relaxed structure of In2TcCl.

Computed properties:
symmetry	No. 216

abc: 4.9277 4.9277 4.9277
angles: 60.00 60.00 60.00
Last column: nearest neighbours and their distance in Å.
Fractional positions:
In 0.0000 0.0000 0.0000  4 In 3.02, 4 Tc 3.02
In 0.2500 0.2500 0.2500  4 In 3.02, 4 Cl 3.02
Tc 0.7500 0.7500 0.7500  4 Cl 3.02, 4 In 3.02
Cl 0.5000 0.5000 0.5000  4 In 3.02, 4 Tc 3.02

two.
## In2TcCl (GGA-PBE)

Data for a relaxed structure of In2TcCl.

Computed properties:
symmetry	No. 35

abc: 3.2024 3.2024 10.2903
angles: 90.00 90.00 122.46
Last column: nearest neighbours and their distance in Å.
Fractional positions:
In 0.0000 0.0000 0.0000  2 Tc 2.81, 2 In 3.08
In 0.5000 0.5000 0.2756  8 In 3.08-3.23
Tc 0.5000 0.5000 0.7716  2 Cl 2.36
Cl 0.0000 0.0000 0.5976  2 Tc 2.36

Of them, two has the highest stability.

one.
## In2TcCl (GGA-PBE)

Data for a relaxed structure of In2TcCl.

Computed properties:
symmetry	No. 71

abc: 7.3425 7.3425 7.3425
angles: 156.65 145.36 42.20
Last column: nearest neighbours and their distance in Å.
Fractional positions:
In 0.1806 0.1806 0.0000  2 Tc 2.89, 2 In 2.97
In 0.8194 0.8194 0.0000  2 Tc 2.89, 2 In 2.97
Tc 0.0000 0.5000 0.5000  4 Cl 2.64, 4 In 2.89
Cl 0.5000 0.0000 0.5000  4 Tc 2.64

two.
## In2TcCl (GGA-PBE)

Data for a relaxed structure of In2TcCl.

Computed properties:
symmetry	No. 160

abc: 10.2401 10.2401 10.2401
angles: 18.24 18.24 18.24
Last column: nearest neighbours and their distance in Å.
Fractional positions:
In 0.0000 0.0000 0.0000  9 In 3.25-3.26
In 0.2451 0.2451 0.2451  3 Tc 2.89
Tc 0.5058 0.5058 0.5058  3 Cl 2.38
Cl 0.7906 0.7906 0.7906  3 Tc 2.38

Of them, two has the highest stability.

one.
## In2TcCl (GGA-PBE)

Data for a relaxed structure of In2TcCl.

Computed properties:
symmetry	No. 123

abc: 3.2589 3.2589 7.8446
angles: 90.00 90.00 90.00
Last column: nearest neighbours and their distance in Å.
Fractional positions:
In 0.0000 0.0000 0.2066  4 Tc 2.82
In 0.0000 0.0000 0.7934  4 Tc 2.82
Tc 0.5000 0.5000 0.0000  8 In 2.82
Cl 0.5000 0.5000 0.5000  8 In 3.26, 4 Cl 3.26

two.
## In2TcCl (GGA-PBE)

Data for a relaxed structure of In2TcCl.

Computed properties:
symmetry	No. 8

abc: 5.5489 5.5489 5.1846
angles: 106.35 106.35 32.60
Last column: nearest neighbours and their distance in Å.
Fractional positions:
In 0.0000 0.0000 0.0000  1 Cl 2.76, 2 Tc 2.87
In 0.1999 0.1999 0.6315  3 Tc 2.87-3.03, 2 Cl 3.05, 2 In 3.11
Tc 0.4634 0.4634 0.5185  2 Cl 2.57, 4 In 2.87
Cl 0.7907 0.7907 0.2135  2 Tc 2.57, 1 In 2.76

Of them, one has the highest stability.

one.
## In2TcCl (GGA-PBE)

Data for a relaxed structure of In2TcCl.

Computed properties:
symmetry	No. 225

abc: 5.0225 5.0225 5.0225
angles: 60.00 60.00 60.00
Last column: nearest neighbours and their distance in Å.
Fractional positions:
In 0.2500 0.2500 0.2500  4 Cl 3.08, 4 Tc 3.08
In 0.7500 0.7500 0.7500  4 Cl 3.08, 4 Tc 3.08
Tc 0.0000 0.0000 0.0000  8 In 3.08
Cl 0.5000 0.5000 0.5000  8 In 3.08

two.
## In2TcCl (GGA-PBE)

Data for a relaxed structure of In2TcCl.

Computed properties:
symmetry	No. 71

abc: 5.6905 5.6905 5.6905
angles: 144.79 123.51 68.34
Last column: nearest neighbours and their distance in Å.
Fractional positions:
In 0.2350 0.2350 0.0000  2 Tc 2.80, 2 Cl 3.03
In 0.7650 0.7650 0.0000  2 Tc 2.80, 2 Cl 3.03
Tc 0.0000 0.5000 0.5000  4 In 2.80
Cl 0.5000 0.0000 0.5000  4 In 3.03, 4 Tc 3.20

Of them, two has the highest stability.

one.
## In2TcCl (GGA-PBE)

Data for a relaxed structure of In2TcCl.

Computed properties:
symmetry	No. 10

abc: 3.3186 3.2386 7.9460
angles: 90.00 90.11 90.00
Last column: nearest neighbours and their distance in Å.
Fractional positions:
In 0.0011 0.0000 0.2017  4 Tc 2.82, 2 Cl 2.87
In 0.9989 0.0000 0.7983  4 Tc 2.82, 2 Cl 2.87
Tc 0.5000 0.5000 0.0000  8 In 2.82
Cl 0.0000 0.5000 0.5000  4 In 2.87

two.
## In2TcCl (GGA-PBE)

Data for a relaxed structure of In2TcCl.

Computed properties:
symmetry	No. 44

abc: 6.3785 6.3785 6.3785
angles: 153.31 131.99 55.77
Last column: nearest neighbours and their distance in Å.
Fractional positions:
In 0.0000 0.0000 0.0000  2 Tc 2.83, 2 In 2.94
In 0.7144 0.2144 0.5000  2 In 2.94, 4 Tc 2.98, 2 Cl 3.25
Tc 0.2148 0.7148 0.5000  2 Cl 2.44
Cl 0.3873 0.3873 0.0000  2 Tc 2.44

Of them, one has the highest stability.

one.
## In2TcCl (GGA-PBE)

Data for a relaxed structure of In2TcCl.

Computed properties:
symmetry	No. 99

abc: 5.1874 5.1874 2.9521
angles: 90.00 90.00 90.00
Last column: nearest neighbours and their distance in Å.
Fractional positions:
In 0.0000 0.5000 0.0000  2 In 2.95, 4 Cl 2.97-3.00, 4 Tc 2.98
In 0.5000 0.0000 0.0000  2 In 2.95, 4 Cl 2.97-3.00, 4 Tc 2.98
Tc 0.0000 0.0000 0.4995  2 Tc 2.95, 8 In 2.98
Cl 0.5000 0.5000 0.4901  2 Cl 2.95, 8 In 2.97-3.00

two.
## In2TcCl (GGA-PBE)

Data for a relaxed structure of In2TcCl.

Computed properties:
symmetry	No. 139

abc: 5.4340 5.4340 5.4340
angles: 132.98 132.98 68.68
Last column: nearest neighbours and their distance in Å.
Fractional positions:
In 0.2500 0.7500 0.5000  4 In 3.07, 4 Cl 3.12, 4 Tc 3.12
In 0.7500 0.2500 0.5000  4 In 3.07, 4 Cl 3.12, 4 Tc 3.12
Tc 0.0000 0.0000 0.0000  4 Cl 3.07, 8 In 3.12
Cl 0.5000 0.5000 0.0000  4 Tc 3.07, 8 In 3.12

Of them, one has the highest stability.

one.
## InTeCl2 (GGA-PBE)

Data for a relaxed structure of InTeCl2.

Computed properties:
symmetry	No. 44

abc: 8.0011 8.0011 8.0011
angles: 153.87 146.78 42.75
Last column: nearest neighbours and their distance in Å.
Fractional positions:
In 0.0000 0.0000 0.0000  4 Cl 3.00, 2 Te 3.29
Te 0.1840 0.6840 0.5000  4 Cl 2.92
Cl 0.4528 0.4528 0.0000  4 In 3.00
Cl 0.6949 0.1949 0.5000  4 Te 2.92

two.
## InTeCl2 (GGA-PBE)

Data for a relaxed structure of InTeCl2.

Computed properties:
symmetry	No. 38

abc: 4.3679 6.7361 6.7361
angles: 33.99 90.00 90.00
Last column: nearest neighbours and their distance in Å.
Fractional positions:
In 0.0000 0.0000 0.0000  4 Cl 2.94
Te 0.0000 0.7388 0.7388  4 Cl 2.94
Cl 0.5000 0.2364 0.2364  4 Te 2.94
Cl 0.5000 0.4934 0.4934  4 In 2.94

Of them, one has the highest stability.